# BeAgSCl2 (PBE, optimized geometry)
# E_form (uncorrected)	637	meV/atom
# final energy	-2.2423	eV per atom
data_BeAgSCl2
_chemical_formula_sum 'Be1 Ag1 S1 Cl2'
_cell_length_a 4.8076
_cell_length_b 4.8076
_cell_length_c 5.1475
_cell_angle_alpha 90.00
_cell_angle_beta 90.00
_cell_angle_gamma 90.00
_space_group_name_H-M_alt 'P 4/m m m'
_space_group_IT_number 123
_space_group_name_Hall '-P 4 2'
loop_
_atom_site_label
_atom_site_type_symbol
_atom_site_fract_x
_atom_site_fract_y
_atom_site_fract_z
_atom_site_occupancy
Be1 Be 0.0000 0.0000 0.0000 1
Ag1 Ag 0.5000 0.5000 0.5000 1
S1 S 0.5000 0.5000 0.0000 1
Cl1 Cl 0.0000 0.5000 0.5000 1